This record from the Alexandria database describes a relaxed structure of La3ReHg. The functional is PBE.

Structure (POSCAR):
```
La3ReHg
1.0
5.539 0.000 0.000
0.000 5.539 0.000
0.000 0.000 5.539
La Re Hg
3 1 1
direct
0.000 0.000 0.500 La
0.000 0.500 0.000 La
0.500 0.000 0.000 La
0.000 0.000 0.000 Re
0.500 0.500 0.500 Hg
```

## Properties
- DFT formation energy (eV/atom) = 0.06
- magnetization (μB/f.u.) = 0.000

=====

This record from the Alexandria database describes a relaxed structure of Mg3In12Sb5. The functional is PBE.

Structure (POSCAR):
```
Mg3In12Sb5
1.0
-8.621 8.621 8.621
8.621 -8.621 8.621
8.621 8.621 -8.621
Mg In Sb
12 48 20
direct
0.125 0.250 0.375 Mg
0.125 0.375 0.750 Mg
0.250 0.375 0.125 Mg
0.250 0.875 0.625 Mg
0.375 0.125 0.250 Mg
0.375 0.750 0.125 Mg
0.625 0.250 0.875 Mg
0.625 0.875 0.750 Mg
0.750 0.125 0.375 Mg
0.750 0.625 0.875 Mg
0.875 0.625 0.250 Mg
0.875 0.750 0.625 Mg
0.062 0.628 0.389 In
0.062 0.935 0.673 In
0.065 0.239 0.128 In
0.065 0.327 0.938 In
0.111 0.739 0.673 In
0.111 0.872 0.438 In
0.128 0.065 0.239 In
0.128 0.562 0.889 In
0.173 0.239 0.611 In
0.173 0.435 0.562 In
0.239 0.128 0.065 In
0.239 0.611 0.173 In
0.261 0.327 0.889 In
0.261 0.435 0.372 In
0.327 0.889 0.261 In
0.327 0.938 0.065 In
0.372 0.261 0.435 In
0.372 0.611 0.938 In
0.389 0.062 0.628 In
0.389 0.827 0.761 In
0.435 0.372 0.261 In
0.435 0.562 0.173 In
0.438 0.111 0.872 In
0.438 0.827 0.565 In
0.562 0.173 0.435 In
0.562 0.889 0.128 In
0.565 0.438 0.827 In
0.565 0.628 0.739 In
0.611 0.173 0.239 In
0.611 0.938 0.372 In
0.628 0.389 0.062 In
0.628 0.739 0.565 In
0.673 0.062 0.935 In
0.673 0.111 0.739 In
0.739 0.565 0.628 In
0.739 0.673 0.111 In
0.761 0.389 0.827 In
0.761 0.872 0.935 In
0.827 0.565 0.438 In
0.827 0.761 0.389 In
0.872 0.438 0.111 In
0.872 0.935 0.761 In
0.889 0.128 0.562 In
0.889 0.261 0.327 In
0.935 0.673 0.062 In
0.935 0.761 0.872 In
0.938 0.065 0.327 In
0.938 0.372 0.611 In
0.000 0.000 0.000 Sb
0.000 0.000 0.500 Sb
0.000 0.500 0.000 Sb
0.000 0.500 0.500 Sb
0.125 0.750 0.875 Sb
0.125 0.875 0.250 Sb
0.250 0.125 0.875 Sb
0.250 0.625 0.375 Sb
0.375 0.250 0.625 Sb
0.375 0.625 0.750 Sb
0.500 0.000 0.000 Sb
0.500 0.000 0.500 Sb
0.500 0.500 0.000 Sb
0.500 0.500 0.500 Sb
0.625 0.375 0.250 Sb
0.625 0.750 0.375 Sb
0.750 0.375 0.625 Sb
0.750 0.875 0.125 Sb
0.875 0.125 0.750 Sb
0.875 0.250 0.125 Sb
```

## Properties
- energy relative to the elements, uncorrected (eV/atom) = 0.0803
- magnetization (μB/f.u.) = 0.000

=====

This record from the Alexandria database describes a relaxed structure of PmY2TlO. The functional is PBE.

Structure (POSCAR):
```
PmY2TlO
1.0
4.806 0.000 0.000
0.000 4.806 0.000
0.000 0.000 4.951
Pm Y Tl O
1 2 1 1
direct
0.000 0.000 0.000 Pm
0.000 0.500 0.500 Y
0.500 0.000 0.500 Y
0.500 0.500 0.000 Tl
0.000 0.000 0.500 O
```

## Properties
- energy relative to the elements, uncorrected (eV/atom) = -1.3579
- magnetization (μB/f.u.) = 0.000

=====

This record from the Alexandria database describes a relaxed structure of Dy3AlGa12. The functional is PBE.

Structure (POSCAR):
```
Dy3AlGa12
1.0
4.239 0.000 0.000
0.000 4.239 0.000
0.000 0.000 17.057
Dy Al Ga
3 1 12
direct
0.000 0.000 0.000 Dy
0.000 0.000 0.254 Dy
0.000 0.000 0.746 Dy
0.000 0.000 0.500 Al
0.000 0.500 0.127 Ga
0.000 0.500 0.385 Ga
0.000 0.500 0.615 Ga
0.000 0.500 0.873 Ga
0.500 0.000 0.127 Ga
0.500 0.000 0.385 Ga
0.500 0.000 0.615 Ga
0.500 0.000 0.873 Ga
0.500 0.500 0.000 Ga
0.500 0.500 0.246 Ga
0.500 0.500 0.500 Ga
0.500 0.500 0.754 Ga
```

## Properties
- DFT formation energy (eV/atom) = -0.37
- magnetization (μB/f.u.) = 0.000

=====

This record from the Alexandria database describes a relaxed structure of SrAcInHg. The functional is PBE.

Structure (POSCAR):
```
SrAcInHg
1.0
0.000 4.069 4.069
4.069 0.000 4.069
4.069 4.069 0.000
Sr Ac In Hg
1 1 1 1
direct
0.000 0.000 0.000 Sr
0.500 0.500 0.500 Ac
0.750 0.750 0.750 In
0.250 0.250 0.250 Hg
```

## Properties
- DFT formation energy (eV/atom) = -0.49
- magnetization (μB/f.u.) = 0.000

=====

This record from the Alexandria database describes a relaxed structure of Nd4SmS6. The functional is PBE.

Structure (POSCAR):
```
Nd4SmS6
1.0
1.982 -6.701 0.000
1.982 6.701 0.000
0.000 0.000 20.441
Nd Sm S
8 2 12
direct
0.091 0.909 0.630 Nd
0.091 0.909 0.870 Nd
0.360 0.640 0.541 Nd
0.360 0.640 0.959 Nd
0.640 0.360 0.041 Nd
0.640 0.360 0.459 Nd
0.909 0.091 0.130 Nd
0.909 0.091 0.370 Nd
0.153 0.847 0.250 Sm
0.847 0.153 0.750 Sm
0.000 0.000 0.000 S
0.000 0.000 0.500 S
0.197 0.803 0.750 S
0.270 0.730 0.091 S
0.270 0.730 0.409 S
0.447 0.553 0.669 S
0.447 0.553 0.831 S
0.553 0.447 0.169 S
0.553 0.447 0.331 S
0.730 0.270 0.591 S
0.730 0.270 0.909 S
0.803 0.197 0.250 S
```

## Properties
- energy relative to the elements, uncorrected (eV/atom) = -2.0261
- magnetization (μB/f.u.) = 0.000

=====

This record from the Alexandria database describes a relaxed structure of Pm2TmTh3Te6. The functional is PBE.

Structure (POSCAR):
```
Pm2TmTh3Te6
1.0
9.960 -2.152 0.000
9.960 2.152 0.000
-3.073 0.000 8.639
Pm Tm Th Te
2 1 3 6
direct
0.168 0.168 0.335 Pm
0.832 0.832 0.665 Pm
0.500 0.500 0.000 Tm
0.170 0.170 0.837 Th
0.500 0.500 0.500 Th
0.830 0.830 0.163 Th
0.001 0.001 0.763 Te
0.332 0.332 0.419 Te
0.340 0.340 0.916 Te
0.660 0.660 0.084 Te
0.668 0.668 0.581 Te
0.999 0.999 0.237 Te
```

## Properties
- energy relative to the elements, uncorrected (eV/atom) = -1.1581
- magnetization (μB/f.u.) = 0.000

=====

This record from the Alexandria database describes a relaxed structure of TlGe2Au. The functional is PBE.

Structure (POSCAR):
```
TlGe2Au
1.0
3.341 0.000 0.000
0.000 3.341 0.000
0.000 0.000 7.843
Tl Ge Au
1 2 1
direct
0.000 0.000 0.000 Tl
0.500 0.500 0.296 Ge
0.500 0.500 0.704 Ge
0.000 0.000 0.500 Au
```

## Properties
- DFT formation energy (eV/atom) = 0.16
- magnetization (μB/f.u.) = 0.000

=====

This record from the Alexandria database describes a relaxed structure of LiZn2As. The functional is PBE.

Structure (POSCAR):
```
LiZn2As
1.0
2.938 0.000 0.000
0.000 3.953 0.000
-1.036 0.000 5.600
Li Zn As
1 2 1
direct
0.000 0.000 0.000 Li
0.247 0.000 0.503 Zn
0.647 0.500 0.286 Zn
0.431 0.500 0.816 As
```

## Properties
- DFT formation energy (eV/atom) = -0.17
- magnetization (μB/f.u.) = 0.000

=====

This record from the Alexandria database describes a relaxed structure of TcAs3Rh. The functional is PBE.

Structure (POSCAR):
```
TcAs3Rh
1.0
4.738 0.000 0.000
0.000 4.738 0.000
0.000 0.000 4.738
Tc As Rh
1 3 1
direct
0.000 0.000 0.000 Tc
0.000 0.000 0.500 As
0.000 0.500 0.000 As
0.500 0.000 0.000 As
0.500 0.500 0.500 Rh
```

## Properties
- DFT formation energy (eV/atom) = 0.75
- magnetization (μB/f.u.) = 0.000

=====

This record from the Alexandria database describes a relaxed structure of La2TbAgS5. The functional is PBE.

Structure (POSCAR):
```
La2TbAgS5
1.0
2.025 -8.402 0.000
2.025 8.402 0.000
0.000 0.000 12.236
La Tb Ag S
4 2 2 10
direct
0.112 0.888 0.500 La
0.126 0.874 0.121 La
0.874 0.126 0.621 La
0.888 0.112 0.000 La
0.194 0.806 0.821 Tb
0.806 0.194 0.321 Tb
0.468 0.532 0.284 Ag
0.532 0.468 0.784 Ag
0.047 0.953 0.897 S
0.289 0.711 0.477 S
0.306 0.694 0.164 S
0.357 0.643 0.816 S
0.499 0.501 0.589 S
0.501 0.499 0.089 S
0.643 0.357 0.316 S
0.694 0.306 0.664 S
0.711 0.289 0.977 S
0.953 0.047 0.397 S
```

## Properties
- energy relative to the elements, uncorrected (eV/atom) = -1.7842
- magnetization (μB/f.u.) = 0.000

=====

This record from the Alexandria database describes a relaxed structure of HfBe2AgHg. The functional is PBE.

Structure (POSCAR):
```
HfBe2AgHg
1.0
4.884 0.000 0.000
0.000 4.884 0.000
0.000 0.000 5.253
Hf Be Ag Hg
1 2 1 1
direct
0.000 0.000 0.000 Hf
0.000 0.500 0.000 Be
0.500 0.000 0.000 Be
0.000 0.000 0.500 Ag
0.500 0.500 0.500 Hg
```

## Properties
- DFT formation energy (eV/atom) = 1.52
- magnetization (μB/f.u.) = 0.000

=====

Question: Number 11 is which compound?
Answer: La2TbAgS5

=====

Question: Which formula does entry 4 have?
Answer: Dy3AlGa12